## Ba2La2Fe2Cu2O11 (GGA+U)

Data for a relaxed structure of Ba2La2Fe2Cu2O11.

abc: 5.6098 5.6098 7.9337
angles: 90.00 90.00 90.00
With the nearest neighbours (Å) after each atom.
Space group P4mm (No. 99)
One atom of each set of equivalent atoms:
Ba (0.0000, 0.5000, 0.0000)  10 O 2.81-2.90
La (0.0000, 0.5000, 0.4967)  12 O 2.69-2.81
Fe (0.0000, 0.0000, 0.2510)  6 O 1.94-2.02
Fe (0.5000, 0.5000, 0.7293)  5 O 1.81-1.91
Cu (0.0000, 0.0000, 0.7544)  6 O 1.99-2.06
Cu (0.5000, 0.5000, 0.2591)  5 O 1.92-1.95
O (0.0000, 0.0000, 0.0064)  1 Fe 1.94, 1 Cu 2.00
O (0.0000, 0.0000, 0.5030)  1 Cu 1.99, 1 Fe 2.00
O (0.2542, 0.2542, 0.2670)  1 Cu 1.95, 1 Fe 2.02
O (0.2595, 0.2595, 0.7448)  1 Fe 1.91, 1 Cu 2.06
O (0.5000, 0.5000, 0.5014)  1 Fe 1.81, 1 Cu 1.92

Calculated total energy: -6.574 eV/atom
DOS(E_F): 5.194 states/eV/f.u.
V: 13.1 A^3/atom